TcNiPb2O6: optimized geometry, PBE+U.

```
data_TcNiPb2O6
_chemical_formula_sum 'Tc1 Ni1 Pb2 O6'
_space_group_name_H-M_alt 'P 1'
_space_group_IT_number 1
_space_group_name_Hall 'P 1'
_cell_length_a 5.618
_cell_length_b 5.619
_cell_length_c 5.645
_cell_angle_alpha 118.99
_cell_angle_beta 90.96
_cell_angle_gamma 119.64
loop_
_atom_site_label
_atom_site_type_symbol
_atom_site_fract_x
_atom_site_fract_y
_atom_site_fract_z
_atom_site_occupancy
Tc1 Tc 0.000 0.000 0.000 1
Ni1 Ni 0.500 0.000 0.500 1
Pb1 Pb 0.250 0.513 0.764 1
Pb2 Pb 0.750 0.487 0.236 1
O1 O 0.203 0.482 0.200 1
O2 O 0.237 0.066 0.306 1
O3 O 0.285 0.006 0.803 1
O4 O 0.715 0.994 0.197 1
O5 O 0.763 0.934 0.694 1
O6 O 0.797 0.518 0.800 1
```

- VASP energy: -6.192 eV/atom
- Space group: P-1, No. 2